Record 1
This record from Alexandria via LeMat-Bulk describes an optimized crystal structure of TiVNi4. The functional is GGA-PBE.

a b c (Å): 4.7110 4.7110 4.7110
angles (deg): 60.00 60.00 60.00
Each line ends with the local moment (μB).
Fractional coordinates of all 6 atoms:
Ni 0.6246 0.1261 0.6246  0.09
Ni 0.1261 0.6246 0.6246  0.09
Ni 0.6246 0.6246 0.1261  0.09
Ni 0.6246 0.6246 0.6246  0.09
V 0.2500 0.2500 0.2500  1.63
Ti 0.0000 0.0000 0.0000  0.44

Computed properties:
- Energy relative to the elements: -0.218 eV/atom
- DOS at the Fermi energy: 7.6 states/eV/f.u.
- E_tot: -41.4 eV per cell
- ρ: 7.5 g/cm3
- Symmetry: F-43m
- Total magnetization: 2.8 μB/f.u.

=====

Record 2
This record from Alexandria via LeMat-Bulk describes an optimized crystal structure of Ti2V2Ni7. The functional is GGA-PBE.

a b c (Å): 5.7714 4.6179 5.7714
angles (deg): 109.01 89.40 70.99
Fractional coordinates of all 11 atoms:
V 0.3697 0.8807 0.6303
V 0.6303 0.1193 0.3697
Ni 0.0755 0.1704 0.4164
Ni 0.0000 0.0000 0.0000
Ni 0.9245 0.8296 0.5836
Ni 0.2754 0.4677 0.7246
Ni 0.4164 0.8296 0.0755
Ni 0.7246 0.5323 0.2754
Ni 0.5836 0.1704 0.9245
Ti 0.8136 0.5000 0.8136
Ti 0.1864 0.5000 0.1864

Computed properties:
- Energy relative to the elements: -0.249 eV/atom
- DOS at the Fermi energy: 10.8 states/eV/f.u.
- E_tot: -77.2 eV per cell
- ρ: 7.4 g/cm3
- Symmetry: C2/m
- Total magnetization: 0.0 μB/f.u.

=====

Record 3
This record from Alexandria via LeMat-Bulk describes an optimized crystal structure of Ti6VNi12. The functional is GGA-PBE.

a b c (Å): 6.3287 6.3287 6.3287
angles (deg): 96.38 96.38 96.38
Fractional coordinates of all 19 atoms:
Ti 0.7485 0.3181 0.1433
Ti 0.2515 0.6819 0.8567
Ti 0.3181 0.1433 0.7485
Ti 0.8567 0.2515 0.6819
Ti 0.6819 0.8567 0.2515
Ti 0.1433 0.7485 0.3181
Ni 0.9485 0.8836 0.6331
Ni 0.8836 0.6331 0.9485
Ni 0.1164 0.3669 0.0515
Ni 0.2160 0.4530 0.5111
Ni 0.7840 0.5470 0.4889
Ni 0.4530 0.5111 0.2160
Ni 0.6331 0.9485 0.8836
Ni 0.5111 0.2160 0.4530
Ni 0.0515 0.1164 0.3669
Ni 0.3669 0.0515 0.1164
Ni 0.5470 0.4889 0.7840
Ni 0.4889 0.7840 0.5470
V 0.0000 0.0000 0.0000

Computed properties:
- Energy relative to the elements: -0.243 eV/atom
- DOS at the Fermi energy: 14.4 states/eV/f.u.
- E_tot: -130.5 eV per cell
- ρ: 7.0 g/cm3
- Symmetry: R-3
- Total magnetization: 0.0 μB/f.u.

=====

Record 4
This record from Alexandria via LeMat-Bulk describes an optimized crystal structure of TiV2Ni2. The functional is GGA-PBE.

a b c (Å): 7.1766 7.1766 2.5571
angles (deg): 90.00 90.00 90.00
Fractional coordinates of all 10 atoms:
Ni 0.1306 0.6306 0.5000
Ni 0.6306 0.8694 0.5000
Ni 0.8694 0.3694 0.5000
Ni 0.3694 0.1306 0.5000
V 0.1642 0.3358 0.0000
V 0.6642 0.1642 0.0000
V 0.8358 0.6642 0.0000
V 0.3358 0.8358 0.0000
Ti 0.0000 0.0000 0.0000
Ti 0.5000 0.5000 0.0000

Computed properties:
- Energy relative to the elements: -0.034 eV/atom
- DOS at the Fermi energy: 5.4 states/eV/f.u.
- E_tot: -75.7 eV per cell
- ρ: 6.7 g/cm3
- Symmetry: P4/mbm
- Polymorph energy (0 for the lowest one): 21.4 meV per atom
- Total magnetization: 0.0 μB/f.u.

=====

Record 5
This record from Alexandria via LeMat-Bulk describes an optimized crystal structure of TiV2Ni2. The functional is GGA-PBE.

a b c (Å): 3.3612 3.3612 6.5030
angles (deg): 75.02 75.02 90.00
Fractional coordinates of all 5 atoms:
Ti 0.0000 0.0000 0.0000
V 0.2500 0.7500 0.5000
V 0.7500 0.2500 0.5000
Ni 0.5947 0.5947 0.8106
Ni 0.4053 0.4053 0.1894

Computed properties:
- Energy relative to the elements: 0.047 eV/atom
- DOS at the Fermi energy: 7.5 states/eV/f.u.
- E_tot: -37.5 eV per cell
- ρ: 6.5 g/cm3
- Symmetry: I4/mmm
- Polymorph energy (0 for the lowest one): 102.6 meV per atom
- Total magnetization: 0.0 μB/f.u.

=====

Record 6
This record from Alexandria via LeMat-Bulk describes an optimized crystal structure of TiVNi. The functional is GGA-PBE.

a b c (Å): 2.6118 4.2740 4.2740
angles (deg): 120.00 90.00 90.00
Each line ends with the local moment (μB).
Fractional coordinates of all 3 atoms:
V 0.6816 0.6667 0.3333  1.21
Ti 0.3215 0.3333 0.6667  0.59
Ni 0.9969 0.0000 0.0000  0.46

Computed properties:
- Energy relative to the elements: 0.034 eV/atom
- DOS at the Fermi energy: 3.9 states/eV/f.u.
- E_tot: -22.7 eV per cell
- ρ: 6.3 g/cm3
- Symmetry: P3m1
- Polymorph energy (0 for the lowest one): 259.6 meV per atom
- Total magnetization: 2.5 μB/f.u.

=====

Record 7
This record from Alexandria via LeMat-Bulk describes an optimized crystal structure of TiV2Ni2. The functional is GGA-PBE.

a b c (Å): 3.5276 3.5276 6.1629
angles (deg): 73.37 73.37 90.00
Each line ends with the local moment (μB).
Fractional coordinates of all 5 atoms:
Ti 0.0000 0.0000 0.0000  0.10
Ni 0.2500 0.7500 0.5000  0.14
Ni 0.7500 0.2500 0.5000  0.14
V 0.6041 0.6041 0.7917  0.84
V 0.3959 0.3959 0.2083  0.84

Computed properties:
- Energy relative to the elements: 0.182 eV/atom
- DOS at the Fermi energy: 5.4 states/eV/f.u.
- E_tot: -36.8 eV per cell
- ρ: 6.3 g/cm3
- Symmetry: I4/mmm
- Polymorph energy (0 for the lowest one): 237.5 meV per atom
- Total magnetization: 2.2 μB/f.u.

=====

Record 8
This record from Alexandria via LeMat-Bulk describes an optimized crystal structure of TiVNi. The functional is GGA-PBE.

a b c (Å): 3.6303 4.0361 5.9392
angles (deg): 109.86 90.00 90.00
Fractional coordinates of all 6 atoms:
Ni 0.2500 0.2418 0.4837
Ni 0.7500 0.7582 0.5163
V 0.2500 0.9181 0.8361
V 0.7500 0.0819 0.1639
Ti 0.7500 0.4027 0.8054
Ti 0.2500 0.5973 0.1946

Computed properties:
- Energy relative to the elements: -0.149 eV/atom
- DOS at the Fermi energy: 3.0 states/eV/f.u.
- E_tot: -46.5 eV per cell
- ρ: 6.4 g/cm3
- Symmetry: Cmcm
- Polymorph energy (0 for the lowest one): 76.8 meV per atom
- Total magnetization: 0.0 μB/f.u.

=====

Which of these has the highest ρ?
TiVNi4

=====

E_tot of number 7 (TiV2Ni2)?
-36.8 eV per cell

=====

energy relative to the elements of number 8 (TiVNi)?
-0.149 eV/atom